[1]
A plane-wave DFT calculation with PBE was carried out for an optimized crystal structure of H9PtN2ClO2.

## Properties
E_tot: -297.4 eV/cell
Calculated volume: 10.3 Å³/atom
Magnetic moment: 0.000 μB per atom
Density of states at the Fermi level: 0.0000 states/eV/atom

Cell: 4.304 7.855 18.283 Å, 92.87 90.00 90.00°
Atoms (fractional coordinates):
H: 0.740 0.976 0.737
Cl: 0.819 0.241 0.004
O: 0.354 0.631 0.749
H: 0.651 0.563 0.842
Pt: 0.957 0.293 0.884
H: 0.939 0.402 0.636
H: 0.879 0.011 0.164
H: 0.260 0.024 0.263
Pt: 0.457 0.207 0.616
H: 0.691 0.781 0.753
H: 0.121 0.989 0.836
N: 0.711 0.429 0.624
H: 0.191 0.719 0.747
H: 0.849 0.063 0.342
O: 0.146 0.131 0.249
Pt: 0.543 0.793 0.384
H: 0.379 0.489 0.336
H: 0.509 0.505 0.083
N: 0.211 0.071 0.876
H: 0.621 0.511 0.664
H: 0.561 0.902 0.136
H: 0.683 0.107 0.424
N: 0.799 0.015 0.392
H: 0.349 0.437 0.158
H: 0.263 0.767 0.262
H: 0.708 0.490 0.575
H: 0.809 0.281 0.253
O: 0.065 0.345 0.779
H: 0.151 0.937 0.658
H: 0.061 0.598 0.364
O: 0.935 0.655 0.221
H: 0.183 0.393 0.076
H: 0.817 0.607 0.924
H: 0.491 0.495 0.917
Cl: 0.319 0.259 0.496
H: 0.317 0.893 0.576
Pt: 0.043 0.707 0.116
N: 0.289 0.571 0.376
N: 0.701 0.515 0.892
H: 0.208 0.010 0.925
O: 0.565 0.155 0.721
O: 0.435 0.845 0.279
H: 0.760 0.476 0.237
N: 0.201 0.985 0.608
H: 0.991 0.005 0.583
H: 0.237 0.267 0.762
O: 0.646 0.369 0.251
Cl: 0.181 0.759 0.996
H: 0.737 0.233 0.738
H: 0.439 0.098 0.864
H: 0.792 0.990 0.075
Cl: 0.681 0.741 0.504
N: 0.789 0.929 0.124
H: 0.292 0.510 0.425
H: 0.763 0.733 0.238
H: 0.009 0.995 0.417
O: 0.854 0.869 0.751
H: 0.240 0.524 0.763
N: 0.299 0.485 0.108
H: 0.309 0.219 0.247



[2]
A plane-wave DFT calculation with PBE was carried out for an optimized crystal structure of H12RuSN4Cl2O2.

## Properties
E_tot: -455.7 eV/cell
Calculated volume: 11.4 Å³/atom
Magnetic moment: 0.003 μB per atom
Density of states at the Fermi level: 0.0000 states/eV/atom

Cell: 7.451 9.286 14.493 Å, 90.00 90.00 90.00°
Last column: magnetic moment on the atom in μB.
Atoms (fractional coordinates):
Ru: 0.750 0.779 0.088  0.07
H: 0.594 0.862 0.444  0.00
S: 0.250 0.088 0.333  0.00
H: 0.545 0.204 0.803  0.00
H: 0.472 0.945 0.136  0.00
N: 0.455 0.372 0.326  0.00
H: 0.509 0.294 0.537  0.00
H: 0.095 0.075 0.770  0.00
H: 0.528 0.055 0.864  0.00
H: 0.491 0.794 0.963  0.00
O: 0.250 0.405 0.732  0.00
H: 0.045 0.796 0.197  0.00
H: 0.406 0.138 0.556  0.00
O: 0.750 0.905 0.768  0.00
H: 0.445 0.654 0.028  0.00
H: 0.972 0.055 0.864  0.00
N: 0.545 0.872 0.174  0.00
N: 0.955 0.872 0.174  0.00
H: 0.009 0.706 0.463  0.00
S: 0.750 0.588 0.167  0.00
O: 0.750 0.595 0.268  0.00
H: 0.545 0.296 0.303  0.00
H: 0.945 0.346 0.972  0.00
H: 0.055 0.846 0.528  0.00
N: 0.953 0.706 0.995  0.00
H: 0.095 0.425 0.270  0.00
Cl: 0.250 0.505 0.494  0.00
N: 0.547 0.794 0.495  0.00
H: 0.555 0.346 0.972  0.00
O: 0.250 0.095 0.232  0.00
H: 0.094 0.362 0.056  0.00
H: 0.028 0.555 0.636  0.00
H: 0.406 0.362 0.056  0.00
H: 0.045 0.704 0.697  0.00
Cl: 0.750 0.056 0.351  0.00
H: 0.405 0.425 0.270  0.00
Cl: 0.250 0.995 0.994  0.00
H: 0.905 0.925 0.230  0.00
H: 0.405 0.075 0.770  0.00
H: 0.445 0.846 0.528  0.00
H: 0.595 0.925 0.230  0.00
H: 0.595 0.575 0.730  0.00
H: 0.555 0.154 0.472  0.00
O: 0.750 0.059 0.629  0.00
N: 0.953 0.794 0.495  0.00
H: 0.455 0.796 0.197  0.00
H: 0.991 0.206 0.037  0.00
N: 0.047 0.206 0.505  0.00
H: 0.455 0.704 0.697  0.00
Cl: 0.250 0.944 0.649  0.00
N: 0.455 0.128 0.826  0.00
H: 0.491 0.706 0.463  0.00
O: 0.250 0.941 0.371  0.00
H: 0.906 0.638 0.944  0.00
H: 0.028 0.945 0.136  0.00
H: 0.906 0.862 0.444  0.00
Cl: 0.750 0.005 0.006  0.00
O: 0.750 0.441 0.129  0.00
Ru: 0.750 0.721 0.588  0.07
N: 0.453 0.206 0.505  0.00
H: 0.094 0.138 0.556  0.00
Ru: 0.250 0.279 0.412  0.07
H: 0.009 0.794 0.963  0.00
N: 0.047 0.294 0.005  0.00
H: 0.955 0.296 0.303  0.00
N: 0.955 0.628 0.674  0.00
Cl: 0.250 0.556 0.149  0.00
Cl: 0.750 0.444 0.851  0.00
N: 0.453 0.294 0.005  0.00
H: 0.991 0.294 0.537  0.00
H: 0.945 0.154 0.472  0.00
N: 0.045 0.372 0.326  0.00
S: 0.250 0.412 0.833  0.00
H: 0.972 0.445 0.364  0.00
Ru: 0.250 0.221 0.912  0.07
S: 0.750 0.912 0.667  0.00
N: 0.545 0.628 0.674  0.00
H: 0.955 0.204 0.803  0.00
Cl: 0.750 0.495 0.506  0.00
H: 0.594 0.638 0.944  0.00
O: 0.250 0.559 0.871  0.00
H: 0.472 0.555 0.636  0.00
N: 0.547 0.706 0.995  0.00
H: 0.905 0.575 0.730  0.00
H: 0.509 0.206 0.037  0.00
H: 0.528 0.445 0.364  0.00
H: 0.055 0.654 0.028  0.00
N: 0.045 0.128 0.826  0.00



[3]
A plane-wave DFT calculation with PBE was carried out for an optimized crystal structure of H6PbN2Cl.

## Properties
E_tot: -93.4 eV/cell
Calculated volume: 13.3 Å³/atom
Magnetic moment: 0.000 μB per atom
Density of states at the Fermi level: 0.1030 states/eV/atom

Cell: 6.429 6.429 6.492 Å, 93.57 93.57 83.73°
Atoms (fractional coordinates):
H: 0.550 0.189 0.894
N: 0.895 0.423 0.744
Pb: 0.025 0.975 0.250
H: 0.499 0.972 0.749
Pb: 0.975 0.025 0.750
H: 0.481 0.801 0.361
H: 0.519 0.199 0.639
H: 0.972 0.499 0.249
N: 0.577 0.105 0.756
H: 0.801 0.481 0.861
Cl: 0.651 0.349 0.250
H: 0.501 0.028 0.251
H: 0.811 0.450 0.606
Cl: 0.349 0.651 0.750
N: 0.105 0.577 0.256
N: 0.423 0.895 0.244
H: 0.450 0.811 0.106
H: 0.199 0.519 0.139
H: 0.028 0.501 0.751
H: 0.189 0.550 0.394



[4]
A plane-wave DFT calculation with PBE was carried out for an optimized crystal structure of H4PbNCl3.

## Properties
E_tot: -153.2 eV/cell
Calculated volume: 18.9 Å³/atom
Magnetic moment: 0.000 μB per atom
Density of states at the Fermi level: 0.0000 states/eV/atom

Cell: 4.490 9.697 15.629 Å, 90.00 90.00 90.00°
Atoms (fractional coordinates):
N: 0.250 0.451 0.810
Cl: 0.250 0.151 0.522
H: 0.436 0.889 0.698
H: 0.750 0.499 0.131
Pb: 0.250 0.171 0.067
Cl: 0.750 0.243 0.739
Cl: 0.250 0.023 0.896
H: 0.436 0.389 0.802
H: 0.250 0.023 0.739
Pb: 0.750 0.829 0.933
H: 0.064 0.889 0.698
H: 0.250 0.501 0.869
H: 0.936 0.111 0.302
H: 0.564 0.111 0.302
Pb: 0.250 0.671 0.433
H: 0.936 0.611 0.198
Pb: 0.750 0.329 0.567
Cl: 0.250 0.651 0.978
H: 0.750 0.999 0.369
Cl: 0.750 0.743 0.761
Cl: 0.250 0.757 0.261
H: 0.064 0.389 0.802
Cl: 0.250 0.257 0.239
H: 0.564 0.611 0.198
N: 0.750 0.549 0.190
N: 0.250 0.951 0.690
Cl: 0.750 0.977 0.104
Cl: 0.250 0.523 0.604
H: 0.750 0.977 0.261
N: 0.750 0.049 0.310
Cl: 0.750 0.349 0.022
H: 0.250 0.001 0.631
Cl: 0.750 0.849 0.478
H: 0.750 0.477 0.239
H: 0.250 0.523 0.761
Cl: 0.750 0.477 0.396



[5]
A plane-wave DFT calculation with PBE was carried out for an optimized crystal structure of H6PbN2Cl2.

## Properties
E_tot: -51.0 eV/cell
Calculated volume: 16.3 Å³/atom
Magnetic moment: 0.000 μB per atom
Density of states at the Fermi level: 0.0000 states/eV/atom

Cell: 4.382 7.140 9.361 Å, 139.20 105.47 69.55°
Atoms (fractional coordinates):
Cl: 0.122 0.009 0.723
H: 0.542 0.677 0.929
H: 0.280 0.682 0.768
N: 0.349 0.594 0.824
N: 0.651 0.406 0.176
Pb: 0.500 0.000 0.500
Cl: 0.878 0.991 0.277
H: 0.458 0.323 0.071
H: 0.720 0.318 0.232
H: 0.836 0.321 0.080
H: 0.164 0.679 0.920



[6]
A plane-wave DFT calculation with PBE was carried out for an optimized crystal structure of H4PbNCl3.

## Properties
E_tot: -76.7 eV/cell
Calculated volume: 18.6 Å³/atom
Magnetic moment: 0.000 μB per atom
Density of states at the Fermi level: 0.0000 states/eV/atom

Cell: 4.332 7.666 10.634 Å, 89.87 90.11 108.40°
Atoms (fractional coordinates):
H: 0.090 0.447 0.941
H: 0.851 0.442 0.583
Cl: 0.557 0.237 0.173
N: 0.256 0.506 0.011
N: 0.743 0.494 0.511
Cl: 0.742 0.285 0.792
Cl: 0.088 0.156 0.485
Cl: 0.911 0.844 0.985
H: 0.348 0.408 0.051
Pb: 0.058 0.015 0.738
Pb: 0.943 0.984 0.238
H: 0.448 0.615 0.977
H: 0.652 0.592 0.550
Cl: 0.261 0.714 0.292
H: 0.910 0.553 0.441
Cl: 0.444 0.762 0.673
H: 0.146 0.557 0.082
H: 0.551 0.386 0.477



[7]
A plane-wave DFT calculation with PBE was carried out for an optimized crystal structure of H2PbNCl.

## Properties
E_tot: -43.6 eV/cell
Calculated volume: 15.1 Å³/atom
Magnetic moment: 0.000 μB per atom
Density of states at the Fermi level: 0.0000 states/eV/atom

Cell: 3.873 5.823 7.108 Å, 90.00 90.00 109.42°
Atoms (fractional coordinates):
N: 0.000 0.000 0.000
H: 0.917 0.835 0.061
Cl: 0.698 0.396 0.750
H: 0.083 0.165 0.561
H: 0.917 0.835 0.439
Cl: 0.302 0.604 0.250
N: 0.000 0.000 0.500
H: 0.083 0.165 0.939
Pb: 0.428 0.856 0.750
Pb: 0.572 0.144 0.250



[8]
A plane-wave DFT calculation with PBE was carried out for an optimized crystal structure of H2PdNCl.

## Properties
E_tot: -17.6 eV/cell
Calculated volume: 13.6 Å³/atom
Magnetic moment: 0.152 μB per atom
Density of states at the Fermi level: 0.2433 states/eV/atom

Cell: 3.064 7.263 3.064 Å, 90.00 90.00 90.00°
Last column: magnetic moment on the atom in μB.
Atoms (fractional coordinates):
H: 0.000 0.000 0.500  0.01
Pd: 0.500 0.500 0.500  0.20
N: 0.000 0.500 0.000  0.39
Cl: 0.000 0.000 0.000  0.01
H: 0.500 0.000 0.000  0.00



[9]
A plane-wave DFT calculation with PBE was carried out for an optimized crystal structure of H6PdN2Cl.

## Properties
E_tot: -95.3 eV/cell
Calculated volume: 10.4 Å³/atom
Magnetic moment: 0.000 μB per atom
Density of states at the Fermi level: 0.0143 states/eV/atom

Cell: 7.055 7.055 4.994 Å, 110.66 110.66 97.60°
Atoms (fractional coordinates):
N: 0.684 0.840 0.013
H: 0.931 0.675 0.719
H: 0.932 0.676 0.390
N: 0.840 0.684 0.513
H: 0.068 0.324 0.610
H: 0.676 0.932 0.890
H: 0.836 0.827 0.082
H: 0.173 0.164 0.418
H: 0.069 0.325 0.281
H: 0.827 0.836 0.582
N: 0.160 0.316 0.487
H: 0.675 0.931 0.219
H: 0.325 0.069 0.781
N: 0.316 0.160 0.987
Pd: 0.441 0.559 0.750
Cl: 0.192 0.808 0.250
Pd: 0.559 0.441 0.250
H: 0.164 0.173 0.918
H: 0.324 0.068 0.110
Cl: 0.808 0.192 0.750



[10]
A plane-wave DFT calculation with PBE was carried out for an optimized crystal structure of H8PdN2Cl6.

## Properties
E_tot: -69.6 eV/cell
Calculated volume: 14.7 Å³/atom
Distance to the lowest polymorph of the same formula: 0.0138 eV/atom
Magnetic moment: 0.000 μB per atom

Cell: 7.065 7.065 7.065 Å, 60.00 60.00 60.00°
Atoms (fractional coordinates):
Cl: 0.764 0.236 0.764
H: 0.310 0.310 0.071
Cl: 0.764 0.236 0.236
N: 0.750 0.750 0.750
Cl: 0.764 0.764 0.236
Cl: 0.236 0.764 0.236
H: 0.310 0.310 0.310
H: 0.929 0.690 0.690
Cl: 0.236 0.764 0.764
H: 0.071 0.310 0.310
Cl: 0.236 0.236 0.764
H: 0.690 0.690 0.929
H: 0.690 0.929 0.690
H: 0.310 0.071 0.310
N: 0.250 0.250 0.250
H: 0.690 0.690 0.690
Pd: 0.000 0.000 0.000



[11]
A plane-wave DFT calculation with PBE was carried out for an optimized crystal structure of H8PdN2Cl6.

## Properties
E_tot: -139.6 eV/cell
Calculated volume: 15.4 Å³/atom
Distance to the lowest polymorph of the same formula: 0.0000 eV/atom
Magnetic moment: 0.000 μB per atom

Cell: 7.044 7.104 12.617 Å, 56.29 90.00 90.00°
Atoms (fractional coordinates):
H: 0.525 0.595 0.259
Cl: 0.020 0.749 0.223
N: 0.000 0.255 0.247
H: 0.932 0.879 0.673
H: 0.855 0.228 0.255
H: 0.551 0.733 0.333
H: 0.645 0.228 0.755
H: 0.475 0.405 0.741
H: 0.568 0.879 0.173
Cl: 0.237 0.820 0.479
H: 0.355 0.772 0.245
N: 0.000 0.745 0.753
Cl: 0.480 0.749 0.723
H: 0.975 0.595 0.759
Cl: 0.796 0.749 0.990
Pd: 0.500 0.000 0.500
H: 0.051 0.267 0.167
H: 0.949 0.733 0.833
Cl: 0.737 0.180 0.021
Cl: 0.980 0.251 0.777
Cl: 0.296 0.251 0.510
Cl: 0.204 0.251 0.010
H: 0.025 0.405 0.241
H: 0.068 0.121 0.327
Pd: 0.000 0.000 0.000
Cl: 0.704 0.749 0.490
Cl: 0.263 0.820 0.979
H: 0.432 0.121 0.827
H: 0.145 0.772 0.745
N: 0.500 0.745 0.253
H: 0.449 0.267 0.667
N: 0.500 0.255 0.747
Cl: 0.763 0.180 0.521
Cl: 0.520 0.251 0.277



[12]
A plane-wave DFT calculation with PBE was carried out for an optimized crystal structure of H8PtN2Cl6.

## Properties
E_tot: -71.0 eV/cell
Calculated volume: 14.8 Å³/atom
Magnetic moment: 0.000 μB per atom
Density of states at the Fermi level: 0.0000 states/eV/atom

Cell: 7.082 7.082 7.082 Å, 60.00 60.00 60.00°
Atoms (fractional coordinates):
H: 0.691 0.691 0.691
H: 0.072 0.309 0.309
H: 0.691 0.691 0.928
H: 0.309 0.072 0.309
N: 0.750 0.750 0.750
Cl: 0.235 0.765 0.765
Cl: 0.765 0.235 0.235
Cl: 0.765 0.235 0.765
H: 0.309 0.309 0.072
H: 0.309 0.309 0.309
N: 0.250 0.250 0.250
H: 0.691 0.928 0.691
Cl: 0.235 0.235 0.765
Pt: 0.000 0.000 0.000
Cl: 0.235 0.765 0.235
H: 0.928 0.691 0.691
Cl: 0.765 0.765 0.235